Record 1
Dy6Y2Ho3Tm: relaxed, GGA-PBE.

Lattice parameters (Å, degrees): 6.1310 10.6068 11.7216 90.00 99.98 90.00
Space group C2/m (No. 12)
Inequivalent atoms, fractional coordinates:
Dy 0.2485 0.0000 0.2492 [4 per cell]
Dy 0.2499 0.1662 0.7506 [8 per cell]
Y 0.0000 0.3334 0.5000 [4 per cell]
Ho 0.0000 0.1667 0.0000 [4 per cell]
Ho 0.0000 0.5000 0.0000 [2 per cell]
Tm 0.0000 0.0000 0.5000 [2 per cell]

Values from the calculation:
DOS(E_F) (states/eV per atom): 1.371
Energy of formation (meV/atom): 20
Raw total energy (eV/atom): -4.876

---

Record 2
DyY2Ho3Tm6: relaxed, GGA-PBE.

Lattice parameters (Å, degrees): 6.0929 10.5391 11.6491 90.00 100.01 90.00
Space group C2/m (No. 12)
Inequivalent atoms, fractional coordinates:
Dy 0.0000 0.0000 0.0000 [2 per cell]
Y 0.0000 0.3334 0.0000 [4 per cell]
Ho 0.0000 0.1668 0.5000 [4 per cell]
Ho 0.0000 0.5000 0.5000 [2 per cell]
Tm 0.2485 0.0000 0.7488 [4 per cell]
Tm 0.2495 0.3337 0.7488 [8 per cell]

Values from the calculation:
DOS(E_F) (states/eV per atom): 1.437
Energy of formation (meV/atom): 26
Raw total energy (eV/atom): -4.815

---

Record 3
DyY5Ho2Tm: relaxed, GGA-PBE.

Lattice parameters (Å, degrees): 5.5834 19.9745 10.5183 90.00 90.00 90.00
Space group Cmc2_1 (No. 36)
Inequivalent atoms, fractional coordinates:
Dy 0.0000 0.1965 0.0000 [4 per cell]
Y 0.0000 0.0171 0.0082 [4 per cell]
Y 0.0000 0.2786 0.3016 [4 per cell]
Y 0.0000 0.3008 0.6924 [4 per cell]
Y 0.0000 0.3850 0.0100 [4 per cell]
Y 0.0000 0.4801 0.7255 [4 per cell]
Ho 0.0000 0.1105 0.7246 [4 per cell]
Ho 0.0000 0.1122 0.3030 [4 per cell]
Tm 0.0000 0.4116 0.4419 [4 per cell]

Values from the calculation:
DOS(E_F) (states/eV per atom): 1.773
Energy of formation (meV/atom): 154
Raw total energy (eV/atom): -5.462

---

Record 4
Dy6Y2HoTm: relaxed, GGA-PBE.

Lattice parameters (Å, degrees): 9.0526 14.9865 9.4856 90.00 97.11 90.00
Space group C2/c (No. 15)
Inequivalent atoms, fractional coordinates:
Dy 0.0612 0.1855 0.4435 [8 per cell]
Dy 0.1009 0.3913 0.6189 [8 per cell]
Dy 0.2072 0.2239 0.8136 [8 per cell]
Y 0.2503 0.0515 0.0447 [8 per cell]
Ho 0.0000 0.0246 0.7500 [4 per cell]
Tm 0.0000 0.4095 0.2500 [4 per cell]

Values from the calculation:
DOS(E_F) (states/eV per atom): 1.384
Energy of formation (meV/atom): 124
Raw total energy (eV/atom): -4.835

---

Number 4 is which compound?
Dy6Y2HoTm